(1)
KReAgSeS2 (PBE, relaxed); space-group type = Cmcm, No. 63
1.0
1.846 -7.519 0.000
1.846 7.519 0.000
0.000 0.000 10.021
Ag S K Se Re
2 4 2 2 2
direct
0.443 0.557 0.750 Ag
0.557 0.443 0.250 Ag
0.390 0.610 0.522 S
0.610 0.390 0.478 S
0.390 0.610 0.978 S
0.610 0.390 0.022 S
0.246 0.754 0.250 K
0.754 0.246 0.750 K
0.930 0.070 0.250 Se
0.070 0.930 0.750 Se
0.000 0.000 0.000 Re
0.000 0.000 0.500 Re

---

(2)
Dy2IrPb (PBE, relaxed); space-group type = P4/mmm, No. 123
1.0
-0.473 -1.601 3.026
3.171 -1.356 -0.222
3.049 6.490 3.910
Dy Pb Ir
2 1 1
direct
0.500 0.500 0.796 Dy
0.500 0.500 0.204 Dy
0.000 0.000 0.500 Pb
0.000 0.000 0.000 Ir

---

(3)
KIrS2O8 (PBE, relaxed); space-group type = P-3, No. 147
1.0
-3.081 -3.293 -1.317
4.603 -0.938 -0.042
-0.450 -2.537 7.398
S O K Ir
2 8 1 1
direct
0.667 0.333 0.726 S
0.333 0.667 0.274 S
0.679 0.642 0.663 O
0.333 0.667 0.089 O
0.667 0.333 0.911 O
0.642 0.963 0.337 O
0.963 0.321 0.663 O
0.321 0.358 0.337 O
0.037 0.679 0.337 O
0.358 0.037 0.663 O
0.000 0.000 0.000 K
0.000 0.000 0.500 Ir

---

Final energy: -58.8; -24.4; -72.8 (eV for the cell shown)